# TaTeMo3

TaTeMo3 after structural relaxation (PBE, Alexandria via LeMat-Bulk).

Computed properties:
Uncorrected formation energy (eV/atom): 1.7528
Raw total energy (eV for the cell shown): -38.724
Polymorph energy (0 for the lowest one) (meV per atom): 0
Total moment (μB per atom): 0.39

Geometry as CIF:
```
data_TaTeMo3
_chemical_formula_sum 'Ta1 Te1 Mo3'
_space_group_name_H-M_alt 'P m -3 m'
_space_group_IT_number 221
_space_group_name_Hall '-P 4 2 3'
_cell_length_a 4.8460
_cell_length_b 4.8460
_cell_length_c 4.8460
_cell_angle_alpha 90.00
_cell_angle_beta 90.00
_cell_angle_gamma 90.00
loop_
_atom_site_label
_atom_site_type_symbol
_atom_site_fract_x
_atom_site_fract_y
_atom_site_fract_z
Ta1 Ta 0.0000 0.0000 0.0000
Te1 Te 0.5000 0.5000 0.5000
Mo1 Mo 0.0000 0.0000 0.5000
```



# Ta2TeMo

Ta2TeMo after structural relaxation (PBE, Alexandria via LeMat-Bulk).

Computed properties:
Uncorrected formation energy (eV/atom): 0.3022
Raw total energy (eV for the cell shown): -36.469
Total moment (μB per atom): 0.00

Geometry as CIF:
```
data_Ta2TeMo
_chemical_formula_sum 'Ta2 Te1 Mo1'
_space_group_name_H-M_alt 'P 1 2/m 1'
_space_group_IT_number 10
_cell_length_a 3.0190
_cell_length_b 4.7521
_cell_length_c 5.2517
_cell_angle_alpha 90.00
_cell_angle_beta 90.57
_cell_angle_gamma 90.00
loop_
_space_group_symop_operation_xyz
'x,y,z'
'-x,-y,-z'
'-x,y,-z'
'x,-y,z'
loop_
_atom_site_label
_atom_site_type_symbol
_atom_site_fract_x
_atom_site_fract_y
_atom_site_fract_z
Ta1 Ta 0.1809 0.0000 0.2347
Te1 Te 0.0000 0.5000 0.5000
Mo1 Mo 0.5000 0.5000 0.0000
```



# Ta2TeMo

Ta2TeMo after structural relaxation (PBE, Alexandria via LeMat-Bulk).

Computed properties:
Uncorrected formation energy (eV/atom): 0.3151
Raw total energy (eV for the cell shown): -36.418
Total moment (μB per atom): 0.00

Geometry as CIF:
```
data_Ta2TeMo
_chemical_formula_sum 'Ta2 Te1 Mo1'
_space_group_name_H-M_alt 'P 4/m m m'
_space_group_IT_number 123
_space_group_name_Hall '-P 4 2'
_cell_length_a 4.6332
_cell_length_b 4.6332
_cell_length_c 3.4202
_cell_angle_alpha 90.00
_cell_angle_beta 90.00
_cell_angle_gamma 90.00
loop_
_atom_site_label
_atom_site_type_symbol
_atom_site_fract_x
_atom_site_fract_y
_atom_site_fract_z
Ta1 Ta 0.0000 0.5000 0.0000
Te1 Te 0.0000 0.0000 0.5000
Mo1 Mo 0.5000 0.5000 0.5000
```



# TaTeMo

TaTeMo after structural relaxation (PBE, Alexandria via LeMat-Bulk).

Computed properties:
Uncorrected formation energy (eV/atom): 0.3138
Raw total energy (eV for the cell shown): -49.768
Polymorph energy (0 for the lowest one) (meV per atom): 101
Total moment (μB per atom): 0.00

Geometry as CIF:
```
data_TaTeMo
_chemical_formula_sum 'Ta2 Te2 Mo2'
_space_group_name_H-M_alt 'I 4 m m'
_space_group_IT_number 107
_space_group_name_Hall 'I 4 -2'
_cell_length_a 3.4507
_cell_length_b 3.4507
_cell_length_c 9.4991
_cell_angle_alpha 90.00
_cell_angle_beta 90.00
_cell_angle_gamma 90.00
loop_
_atom_site_label
_atom_site_type_symbol
_atom_site_fract_x
_atom_site_fract_y
_atom_site_fract_z
Ta1 Ta 0.0000 0.0000 0.0000
Te1 Te 0.0000 0.0000 0.3238
Mo1 Mo 0.0000 0.0000 0.6438
```



# Ta2TeMo

Ta2TeMo after structural relaxation (PBE, Alexandria via LeMat-Bulk).

Computed properties:
Uncorrected formation energy (eV/atom): 0.2214
Raw total energy (eV for the cell shown): -73.585
Total moment (μB per atom): 0.00

Geometry as CIF:
```
data_Ta2TeMo
_chemical_formula_sum 'Ta4 Te2 Mo2'
_space_group_name_H-M_alt 'C m m m'
_space_group_IT_number 65
_space_group_name_Hall '-C 2 2'
_cell_length_a 5.8236
_cell_length_b 7.5815
_cell_length_c 3.3352
_cell_angle_alpha 90.00
_cell_angle_beta 90.00
_cell_angle_gamma 90.00
loop_
_atom_site_label
_atom_site_type_symbol
_atom_site_fract_x
_atom_site_fract_y
_atom_site_fract_z
Ta1 Ta 0.2500 0.2500 0.0000
Te1 Te 0.0000 0.0000 0.5000
Mo1 Mo 0.0000 0.5000 0.5000
```



# Ta2TeMo

Ta2TeMo after structural relaxation (PBE, Alexandria via LeMat-Bulk).

Computed properties:
Uncorrected formation energy (eV/atom): 0.2669
Raw total energy (eV for the cell shown): -36.610
Total moment (μB per atom): 0.00

Geometry as CIF:
```
data_Ta2TeMo
_chemical_formula_sum 'Ta2 Te1 Mo1'
_space_group_name_H-M_alt 'P m m m'
_space_group_IT_number 47
_cell_length_a 3.1824
_cell_length_b 4.2738
_cell_length_c 5.4593
_cell_angle_alpha 90.00
_cell_angle_beta 90.00
_cell_angle_gamma 90.00
loop_
_space_group_symop_operation_xyz
'x,y,z'
'-x,-y,-z'
'-x,-y,z'
'x,y,-z'
'x,-y,-z'
'-x,y,z'
'-x,y,-z'
'x,-y,z'
loop_
_atom_site_label
_atom_site_type_symbol
_atom_site_fract_x
_atom_site_fract_y
_atom_site_fract_z
Ta1 Ta 0.0000 0.0000 0.2391
Te1 Te 0.5000 0.5000 0.5000
Mo1 Mo 0.5000 0.5000 0.0000
```



# Ta2TeMo

Ta2TeMo after structural relaxation (PBE, Alexandria via LeMat-Bulk).

Computed properties:
Uncorrected formation energy (eV/atom): 0.3297
Raw total energy (eV for the cell shown): -109.078
Total moment (μB per atom): 0.00

Geometry as CIF:
```
data_Ta2TeMo
_chemical_formula_sum 'Ta6 Te3 Mo3'
_space_group_name_H-M_alt 'R 3 m'
_space_group_IT_number 160
_space_group_name_Hall 'R 3 -2"'
_cell_length_a 3.2401
_cell_length_b 3.2401
_cell_length_c 25.5404
_cell_angle_alpha 90.00
_cell_angle_beta 90.00
_cell_angle_gamma 120.00
loop_
_atom_site_label
_atom_site_type_symbol
_atom_site_fract_x
_atom_site_fract_y
_atom_site_fract_z
Ta1 Ta 0.0000 0.0000 0.0000
Ta2 Ta 0.0000 0.0000 0.2489
Te1 Te 0.0000 0.0000 0.7534
Mo1 Mo 0.0000 0.0000 0.5063
```



# Ta4TeMo

Ta4TeMo after structural relaxation (PBE, Alexandria via LeMat-Bulk).

Computed properties:
Uncorrected formation energy (eV/atom): 0.4754
Raw total energy (eV for the cell shown): -234.125
Total moment (μB per atom): 0.00

Geometry as CIF:
```
data_Ta4TeMo
_chemical_formula_sum 'Ta16 Te4 Mo4'
_space_group_name_H-M_alt 'F -4 3 m'
_space_group_IT_number 216
_space_group_name_Hall 'F -4 2 3'
_cell_length_a 7.7190
_cell_length_b 7.7190
_cell_length_c 7.7190
_cell_angle_alpha 90.00
_cell_angle_beta 90.00
_cell_angle_gamma 90.00
loop_
_atom_site_label
_atom_site_type_symbol
_atom_site_fract_x
_atom_site_fract_y
_atom_site_fract_z
Ta1 Ta 0.1253 0.1253 0.1253
Te1 Te 0.2500 0.2500 0.7500
Mo1 Mo 0.0000 0.0000 0.5000
```



# ThTaMo

ThTaMo after structural relaxation (PBE, Alexandria via LeMat-Bulk).

Computed properties:
Raw total energy (eV for the cell shown): -87.183
Total moment (μB per atom): 0.00

Geometry as CIF:
```
data_ThTaMo
_chemical_formula_sum 'Th3 Ta3 Mo3'
_space_group_name_H-M_alt 'P -6 2 m'
_space_group_IT_number 189
_space_group_name_Hall 'P -6 -2'
_cell_length_a 6.9861
_cell_length_b 6.9861
_cell_length_c 4.7686
_cell_angle_alpha 90.00
_cell_angle_beta 90.00
_cell_angle_gamma 120.00
loop_
_atom_site_label
_atom_site_type_symbol
_atom_site_fract_x
_atom_site_fract_y
_atom_site_fract_z
Th1 Th 0.0000 0.4489 0.0000
Ta1 Ta 0.0000 0.0000 0.0000
Ta2 Ta 0.3333 0.6667 0.5000
Mo1 Mo 0.0000 0.7718 0.5000
```



# TaTiMo

TaTiMo after structural relaxation (PBE, Alexandria via LeMat-Bulk).

Computed properties:
Raw total energy (eV for the cell shown): -123.474
Polymorph energy (0 for the lowest one) (meV per atom): 33
Total moment (μB per atom): 0.00

Geometry as CIF:
```
data_TaTiMo
_chemical_formula_sum 'Ta4 Ti4 Mo4'
_space_group_name_H-M_alt 'C 1 2/m 1'
_space_group_IT_number 12
_cell_length_a 9.7330
_cell_length_b 4.4936
_cell_length_c 5.6564
_cell_angle_alpha 90.00
_cell_angle_beta 125.10
_cell_angle_gamma 90.00
loop_
_space_group_symop_operation_xyz
'x,y,z'
'-x,-y,-z'
'-x,y,-z'
'x,-y,z'
'x+1/2,y+1/2,z'
'-x+1/2,-y+1/2,-z'
'-x+1/2,y+1/2,-z'
'x+1/2,-y+1/2,z'
loop_
_atom_site_label
_atom_site_type_symbol
_atom_site_fract_x
_atom_site_fract_y
_atom_site_fract_z
Ta1 Ta 0.0156 0.0000 0.2631
Ti1 Ti 0.1739 0.5000 0.0984
Mo1 Mo 0.1603 0.5000 0.5823
```



# Ta2TiMo5

Ta2TiMo5 after structural relaxation (PBE, Alexandria via LeMat-Bulk).

Computed properties:
Raw total energy (eV for the cell shown): -173.876
Total moment (μB per atom): 0.00

Geometry as CIF:
```
data_Ta2TiMo5
_chemical_formula_sum 'Ta4 Ti2 Mo10'
_space_group_name_H-M_alt 'I 4/m m m'
_space_group_IT_number 139
_space_group_name_Hall '-I 4 2'
_cell_length_a 6.3911
_cell_length_b 6.3911
_cell_length_c 6.4045
_cell_angle_alpha 90.00
_cell_angle_beta 90.00
_cell_angle_gamma 90.00
loop_
_atom_site_label
_atom_site_type_symbol
_atom_site_fract_x
_atom_site_fract_y
_atom_site_fract_z
Ta1 Ta 0.0000 0.5000 0.0000
Ti1 Ti 0.0000 0.0000 0.0000
Mo1 Mo 0.0000 0.0000 0.5000
Mo2 Mo 0.2500 0.2500 0.2500
```



# Ta2Ti2Mo3

Ta2Ti2Mo3 after structural relaxation (PBE, Alexandria via LeMat-Bulk).

Computed properties:
Raw total energy (eV for the cell shown): -277.977
Polymorph energy (0 for the lowest one) (meV per atom): 494
Total moment (μB per atom): 0.00

Geometry as CIF:
```
data_Ta2Ti2Mo3
_chemical_formula_sum 'Ta8 Ti8 Mo12'
_space_group_name_H-M_alt 'I 21 3'
_space_group_IT_number 199
_space_group_name_Hall 'I 2b 2c 3'
_cell_length_a 7.8732
_cell_length_b 7.8732
_cell_length_c 7.8732
_cell_angle_alpha 90.00
_cell_angle_beta 90.00
_cell_angle_gamma 90.00
loop_
_atom_site_label
_atom_site_type_symbol
_atom_site_fract_x
_atom_site_fract_y
_atom_site_fract_z
Ta1 Ta 0.0799 0.0799 0.0799
Ti1 Ti 0.1985 0.3015 0.6985
Mo1 Mo 0.0000 0.2500 0.4277
```